## CrTcP2O (PBE with a Hubbard U)

Data for crystalline CrTcP2O at its relaxed geometry.

Cell: 4.784 4.784 3.667 Å, 90.00 90.00 90.00°
Sites, in units of the cell vectors:
Cr1 0.000 0.000 0.000
Tc1 0.500 0.500 0.500
P1 0.000 0.500 0.500
P2 0.500 0.000 0.500
O1 0.500 0.500 0.000

The total energy comes out at -31.48 eV per cell. As for the density of states at the Fermi level: 2.51 states/eV/cell. As for the symmetry: P4/mmm.